Compound: LuTaSi2
Source: the Alexandria database
Functional: PBE
Structure: relaxed

Summary:
The calculated volume is 19.5 A^3/atom. The calculation puts the energy at -28.68 eV/cell. Its space group is R-3m. For the density of states at the Fermi level, the calculation gives 0.41 states/eV per atom.

The structure in POSCAR format:
```
LuTaSi2
1.0
3.739 0.000 0.000
1.870 3.238 0.000
1.870 1.079 6.433
Si Lu Ta
2 1 1
direct
0.258 0.258 0.225
0.742 0.742 0.775
0.500 0.500 0.500
0.000 0.000 0.000
```

---

Compound: InAg4Ru
Source: the Alexandria database
Functional: PBE
Structure: relaxed

Summary:
The calculated volume is 18.6 A^3/atom. The calculation puts the energy at -20.53 eV/cell. Its space group is F-43m. The energy of formation comes out at 2.89 eV per formula unit. For the density of states at the Fermi level, the calculation gives 0.90 states/eV per atom.

The structure in POSCAR format:
```
InAg4Ru
1.0
-2.526 -4.328 -2.024
-4.336 -2.021 2.515
-4.900 0.523 -2.220
In Ag Ru
1 4 1
direct
0.750 0.750 0.750
0.876 0.375 0.375
0.375 0.375 0.876
0.375 0.876 0.375
0.375 0.375 0.375
0.000 0.000 0.000
```